# PmCd3F8

PmCd3F8 after structural relaxation (PBE, Alexandria).

a b c (Å): 5.633 5.633 5.633
angles (deg): 90.00 90.00 90.00
Atoms (fractional coordinates):
1 Pm 0.000 0.000 0.000
2 Cd 0.000 0.500 0.500
3 Cd 0.500 0.000 0.500
4 Cd 0.500 0.500 0.000
5 F 0.244 0.244 0.244
6 F 0.244 0.244 0.756
7 F 0.244 0.756 0.244
8 F 0.244 0.756 0.756
9 F 0.756 0.244 0.244
10 F 0.756 0.244 0.756
11 F 0.756 0.756 0.244
12 F 0.756 0.756 0.756

Computed properties:
- E (Ha/atom) = -0.1667
- formation energy without anion corrections (eV/atom) = -2.6633
- SG = Pm-3m, No. 221